Record 1
# RbNa4Ca | Alexandria via LeMat-Bulk | GGA-PBE | relaxed
# **Electronic total energy**: -1.294 eV/atom
# **Formation enthalpy at 0 K**: 0.48 eV per formula unit
data_RbNa4Ca
_chemical_formula_sum 'Rb1 Na4 Ca1'
_cell_length_a 6.0989
_cell_length_b 6.0989
_cell_length_c 8.7820
_cell_angle_alpha 90.00
_cell_angle_beta 90.00
_cell_angle_gamma 120.00
_symmetry_space_group_name_H-M 'P 6/m m m'
_symmetry_Int_Tables_number 191
_symmetry_space_group_name_Hall '-P 6 2'
loop_
_atom_site_label
_atom_site_type_symbol
_atom_site_fract_x
_atom_site_fract_y
_atom_site_fract_z
Rb1 Rb 0.0000 0.0000 0.0000
Na1 Na 0.3333 0.6667 0.3017
Ca1 Ca 0.0000 0.0000 0.5000

Record 2
# Rb2NaCa | Alexandria via LeMat-Bulk | GGA-PBE | relaxed
# **Electronic total energy**: -1.154 eV/atom
# **Formation enthalpy at 0 K**: 0.64 eV per formula unit
data_Rb2NaCa
_chemical_formula_sum 'Rb6 Na3 Ca3'
_cell_length_a 4.3425
_cell_length_b 4.3425
_cell_length_c 43.3999
_cell_angle_alpha 90.00
_cell_angle_beta 90.00
_cell_angle_gamma 120.00
_symmetry_space_group_name_H-M 'R 3 m'
_symmetry_Int_Tables_number 160
_symmetry_space_group_name_Hall 'R 3 -2"'
loop_
_atom_site_label
_atom_site_type_symbol
_atom_site_fract_x
_atom_site_fract_y
_atom_site_fract_z
Rb1 Rb 0.0000 0.0000 0.0000
Rb2 Rb 0.0000 0.0000 0.1711
Na1 Na 0.0000 0.0000 0.5854
Ca1 Ca 0.0000 0.0000 0.4189

Record 3
# Rb3NaCa | Alexandria via LeMat-Bulk | GGA-PBE | relaxed
# **Electronic total energy**: -0.943 eV/atom
# **Formation enthalpy at 0 K**: 1.51 eV per formula unit
data_Rb3NaCa
_chemical_formula_sum 'Rb3 Na1 Ca1'
_cell_length_a 7.2703
_cell_length_b 7.2703
_cell_length_c 7.2703
_cell_angle_alpha 90.00
_cell_angle_beta 90.00
_cell_angle_gamma 90.00
_symmetry_space_group_name_H-M 'P m -3 m'
_symmetry_Int_Tables_number 221
_symmetry_space_group_name_Hall '-P 4 2 3'
loop_
_atom_site_label
_atom_site_type_symbol
_atom_site_fract_x
_atom_site_fract_y
_atom_site_fract_z
Rb1 Rb 0.0000 0.0000 0.5000
Na1 Na 0.0000 0.0000 0.0000
Ca1 Ca 0.5000 0.5000 0.5000

Record 4
# RbNa4Ca | Alexandria via LeMat-Bulk | GGA-PBE | relaxed
# **Electronic total energy**: -1.295 eV/atom
# **Formation enthalpy at 0 K**: 0.47 eV per formula unit
data_RbNa4Ca
_chemical_formula_sum 'Rb4 Na16 Ca4'
_cell_length_a 10.2018
_cell_length_b 10.2018
_cell_length_c 10.2018
_cell_angle_alpha 90.00
_cell_angle_beta 90.00
_cell_angle_gamma 90.00
_symmetry_space_group_name_H-M 'F -4 3 m'
_symmetry_Int_Tables_number 216
_symmetry_space_group_name_Hall 'F -4 2 3'
loop_
_atom_site_label
_atom_site_type_symbol
_atom_site_fract_x
_atom_site_fract_y
_atom_site_fract_z
Rb1 Rb 0.0000 0.0000 0.0000
Na1 Na 0.1235 0.1235 0.3765
Ca1 Ca 0.2500 0.2500 0.7500

Copy entry 2 word for word.
# Rb2NaCa | Alexandria via LeMat-Bulk | GGA-PBE | relaxed
# **Electronic total energy**: -1.154 eV/atom
# **Formation enthalpy at 0 K**: 0.64 eV per formula unit
data_Rb2NaCa
_chemical_formula_sum 'Rb6 Na3 Ca3'
_cell_length_a 4.3425
_cell_length_b 4.3425
_cell_length_c 43.3999
_cell_angle_alpha 90.00
_cell_angle_beta 90.00
_cell_angle_gamma 120.00
_symmetry_space_group_name_H-M 'R 3 m'
_symmetry_Int_Tables_number 160
_symmetry_space_group_name_Hall 'R 3 -2"'
loop_
_atom_site_label
_atom_site_type_symbol
_atom_site_fract_x
_atom_site_fract_y
_atom_site_fract_z
Rb1 Rb 0.0000 0.0000 0.0000
Rb2 Rb 0.0000 0.0000 0.1711
Na1 Na 0.0000 0.0000 0.5854
Ca1 Ca 0.0000 0.0000 0.4189

Look up the formation enthalpy at 0 K of the second one.
0.64 eV per formula unit

Please write out number 3 again, unchanged.
# Rb3NaCa | Alexandria via LeMat-Bulk | GGA-PBE | relaxed
# **Electronic total energy**: -0.943 eV/atom
# **Formation enthalpy at 0 K**: 1.51 eV per formula unit
data_Rb3NaCa
_chemical_formula_sum 'Rb3 Na1 Ca1'
_cell_length_a 7.2703
_cell_length_b 7.2703
_cell_length_c 7.2703
_cell_angle_alpha 90.00
_cell_angle_beta 90.00
_cell_angle_gamma 90.00
_symmetry_space_group_name_H-M 'P m -3 m'
_symmetry_Int_Tables_number 221
_symmetry_space_group_name_Hall '-P 4 2 3'
loop_
_atom_site_label
_atom_site_type_symbol
_atom_site_fract_x
_atom_site_fract_y
_atom_site_fract_z
Rb1 Rb 0.0000 0.0000 0.5000
Na1 Na 0.0000 0.0000 0.0000
Ca1 Ca 0.5000 0.5000 0.5000